Li2Ag6Pb | the Alexandria database | PBE | relaxed; formation enthalpy at 0 K = -0.039 eV/atom; total energy = -2.777 eV per atom; density = 8177 kg/m³; crystal system = orthorhombic; relative energy among the computed polymorphs = 0.042 eV per atom
1.0
-2.278 2.852 6.784
2.278 -2.852 6.784
2.278 2.852 -6.784
Li Ag Pb
2 6 1
Direct
0.169 0.169 0.000
0.831 0.831 0.000
0.139 0.391 0.748
0.288 0.788 0.500
0.357 0.609 0.748
0.643 0.391 0.252
0.712 0.212 0.500
0.861 0.609 0.252
0.500 0.000 0.500